1.
A geometry-optimized YCu11 structure. Source: Alexandria, functional PBE-GGA.

Lattice parameters (Å, degrees): 7.789 7.789 7.789 100.17 100.17 130.30
Fractional coordinates of all 24 atoms:
Y  0.375  0.625  0.750
Y  0.625  0.375  0.250
Cu  0.000  0.000  0.000
Cu  0.000  0.000  0.500
Cu  0.000  0.500  0.000
Cu  0.125  0.875  0.250
Cu  0.137  0.558  0.334
Cu  0.137  0.803  0.579
Cu  0.197  0.275  0.334
Cu  0.197  0.863  0.921
Cu  0.275  0.197  0.834
Cu  0.275  0.442  0.079
Cu  0.442  0.275  0.579
Cu  0.442  0.863  0.166
Cu  0.500  0.000  0.500
Cu  0.558  0.137  0.834
Cu  0.558  0.725  0.421
Cu  0.725  0.558  0.921
Cu  0.725  0.803  0.166
Cu  0.803  0.137  0.079
Cu  0.803  0.725  0.666
Cu  0.863  0.197  0.421
Cu  0.863  0.442  0.666
Cu  0.875  0.125  0.750

Properties
density of states at the Fermi level	7.961	states/eV/cell
calculated density	8.00	g cm⁻³
raw total energy	-4.377	eV/atom
DFT formation energy	-0.08	eV/atom
total magnetization	0.00	μB per cell

---

2.
A geometry-optimized Y2Cu structure. Source: Alexandria, functional PBE-GGA.

Lattice parameters (Å, degrees): 3.644 3.644 6.979 90.00 90.00 120.00
Fractional coordinates of all 3 atoms:
Y  0.333  0.667  0.284
Y  0.667  0.333  0.716
Cu  0.000  0.000  0.000

Properties
density of states at the Fermi level	4.029	states/eV/cell
calculated density	4.99	g cm⁻³
raw total energy	-5.631	eV/atom
DFT formation energy	0.04	eV/atom
total magnetization	0.00	μB per cell

---

3.
A geometry-optimized Y3Cu5 structure. Source: Alexandria, functional PBE-GGA.

Lattice parameters (Å, degrees): 7.533 5.402 7.851 90.00 105.17 90.00
Fractional coordinates of all 16 atoms:
Y  0.016  0.250  0.257
Y  0.266  0.250  0.928
Y  0.346  0.750  0.245
Y  0.654  0.250  0.755
Y  0.734  0.750  0.072
Y  0.984  0.750  0.743
Cu  0.013  0.750  0.393
Cu  0.275  0.008  0.578
Cu  0.275  0.492  0.578
Cu  0.385  0.750  0.855
Cu  0.430  0.250  0.374
Cu  0.570  0.750  0.626
Cu  0.615  0.250  0.145
Cu  0.725  0.508  0.422
Cu  0.725  0.992  0.422
Cu  0.987  0.250  0.607

Properties
E above lowest polymorph	0	meV per atom
density of states at the Fermi level	12.339	states/eV/cell
calculated density	6.29	g cm⁻³
raw total energy	-5.172	eV/atom
DFT formation energy	-0.19	eV/atom
total magnetization	0.00	μB per cell

---

4.
A geometry-optimized Y2Cu structure. Source: Alexandria, functional PBE-GGA.

Lattice parameters (Å, degrees): 6.159 6.159 6.159 60.00 60.00 60.00
Fractional coordinates of all 6 atoms:
Y  0.000  0.000  0.000
Y  0.000  0.000  0.500
Y  0.000  0.500  0.000
Y  0.500  0.000  0.000
Cu  0.375  0.375  0.375
Cu  0.625  0.625  0.625

Properties
density of states at the Fermi level	5.152	states/eV/cell
calculated density	4.85	g cm⁻³
raw total energy	-4.905	eV/atom
DFT formation energy	0.77	eV/atom
total magnetization	0.00	μB per cell

---

5.
A geometry-optimized YZnCu11 structure. Source: Alexandria, functional PBE-GGA.

Lattice parameters (Å, degrees): 6.462 6.462 6.519 97.96 97.96 135.86
Fractional coordinates of all 13 atoms:
Y  0.000  0.000  0.000
Zn  0.500  0.500  0.500
Cu  0.000  0.000  0.500
Cu  0.000  0.500  0.000
Cu  0.009  0.651  0.648
Cu  0.278  0.501  0.779
Cu  0.349  0.991  0.352
Cu  0.499  0.722  0.221
Cu  0.500  0.000  0.000
Cu  0.501  0.278  0.779
Cu  0.651  0.009  0.648
Cu  0.722  0.499  0.221
Cu  0.991  0.349  0.352

Properties
density of states at the Fermi level	5.139	states/eV/cell
calculated density	8.04	g cm⁻³
raw total energy	-4.158	eV/atom
DFT formation energy	-0.10	eV/atom
total magnetization	0.00	μB per cell

---

6.
A geometry-optimized YZn8Cu2 structure. Source: Alexandria, functional PBE-GGA.

Lattice parameters (Å, degrees): 5.227 5.227 8.363 90.00 90.00 90.00
Fractional coordinates of all 11 atoms:
Y  0.000  0.000  0.000
Zn  0.252  0.252  0.290
Zn  0.252  0.252  0.710
Zn  0.252  0.748  0.290
Zn  0.252  0.748  0.710
Zn  0.748  0.252  0.290
Zn  0.748  0.252  0.710
Zn  0.748  0.748  0.290
Zn  0.748  0.748  0.710
Cu  0.000  0.500  0.500
Cu  0.500  0.000  0.500

Properties
density of states at the Fermi level	4.782	states/eV/cell
calculated density	5.37	g cm⁻³
raw total energy	-2.050	eV/atom
DFT formation energy	0.21	eV/atom
total magnetization	0.00	μB per cell

---

7.
A geometry-optimized Y3ZnCu structure. Source: Alexandria, functional PBE-GGA.

Lattice parameters (Å, degrees): 5.296 5.296 5.296 90.00 90.00 90.00
Fractional coordinates of all 5 atoms:
Y  0.000  0.000  0.500
Y  0.000  0.500  0.000
Y  0.500  0.000  0.000
Zn  0.500  0.500  0.500
Cu  0.000  0.000  0.000

Properties
E above lowest polymorph	435	meV per atom
density of states at the Fermi level	5.905	states/eV/cell
calculated density	4.42	g cm⁻³
raw total energy	-4.739	eV/atom
DFT formation energy	0.21	eV/atom
total magnetization	2.43	μB per cell

---

8.
A geometry-optimized Y2Zn5Cu structure. Source: Alexandria, functional PBE-GGA.

Lattice parameters (Å, degrees): 8.263 8.263 8.832 90.00 90.00 150.10
Fractional coordinates of all 16 atoms:
Y  0.000  0.000  0.000
Y  0.000  0.000  0.500
Y  0.194  0.806  0.750
Y  0.806  0.194  0.250
Zn  0.189  0.811  0.106
Zn  0.189  0.811  0.394
Zn  0.354  0.646  0.025
Zn  0.354  0.646  0.475
Zn  0.400  0.600  0.750
Zn  0.600  0.400  0.250
Zn  0.646  0.354  0.525
Zn  0.646  0.354  0.975
Zn  0.811  0.189  0.606
Zn  0.811  0.189  0.894
Cu  0.447  0.553  0.250
Cu  0.553  0.447  0.750

Properties
density of states at the Fermi level	8.150	states/eV/cell
calculated density	6.28	g cm⁻³
raw total energy	-3.234	eV/atom
DFT formation energy	-0.31	eV/atom
total magnetization	0.00	μB per cell